Entry 1:
The following is a DFT calculation (SCAN) of a crystal of Ba8LiNb7O24 relaxed with PBEsol.

The calculation puts the density of states at the Fermi level at 0.185 states/eV/atom. Its uncorrected formation energy is -3.016 eV per atom.

```
data_Ba8LiNb7O24
_cell_length_a 5.845
_cell_length_b 5.845
_cell_length_c 19.022
_cell_angle_alpha 90.00
_cell_angle_beta 90.00
_cell_angle_gamma 120.00
_space_group_name_H-M_alt 'P 1'
_space_group_IT_number 1
loop_
_space_group_symop_operation_xyz
'x,y,z'
loop_
_atom_site_label
_atom_site_type_symbol
_atom_site_fract_x
_atom_site_fract_y
_atom_site_fract_z
_atom_site_occupancy
Ba1 Ba 0.000 0.000 0.000 1
Ba2 Ba 0.000 0.000 0.223 1
Ba3 Ba 0.000 0.000 0.606 1
Ba4 Ba 0.333 0.667 0.104 1
Ba5 Ba 0.333 0.667 0.491 1
Ba6 Ba 0.333 0.667 0.723 1
Ba7 Ba 0.667 0.333 0.353 1
Ba8 Ba 0.667 0.333 0.860 1
Li1 Li 0.667 0.333 0.023 1
Nb1 Nb 0.000 0.000 0.417 1
Nb2 Nb 0.000 0.000 0.796 1
Nb3 Nb 0.333 0.667 0.296 1
Nb4 Nb 0.333 0.667 0.922 1
Nb5 Nb 0.667 0.333 0.165 1
Nb6 Nb 0.667 0.333 0.537 1
Nb7 Nb 0.667 0.333 0.673 1
O1 O 0.002 0.501 0.235 1
O2 O 0.011 0.506 0.974 1
O3 O 0.167 0.334 0.851 1
O4 O 0.167 0.833 0.851 1
O5 O 0.168 0.335 0.357 1
O6 O 0.168 0.832 0.357 1
O7 O 0.328 0.164 0.731 1
O8 O 0.330 0.165 0.479 1
O9 O 0.346 0.173 0.112 1
O10 O 0.494 0.506 0.974 1
O11 O 0.494 0.989 0.974 1
O12 O 0.499 0.501 0.235 1
O13 O 0.499 0.998 0.235 1
O14 O 0.504 0.008 0.606 1
O15 O 0.504 0.496 0.606 1
O16 O 0.665 0.832 0.357 1
O17 O 0.666 0.833 0.851 1
O18 O 0.827 0.173 0.112 1
O19 O 0.827 0.654 0.112 1
O20 O 0.835 0.165 0.479 1
O21 O 0.835 0.670 0.479 1
O22 O 0.836 0.164 0.731 1
O23 O 0.836 0.672 0.731 1
O24 O 0.992 0.496 0.606 1
```



Entry 2:
The following is a DFT calculation (SCAN) of a crystal of Ba4LiNb3O12 relaxed with PBEsol.

The calculation puts the density of states at the Fermi level at 0.000 states/eV/atom. Its uncorrected formation energy is -3.053 eV per atom.

```
data_Ba4LiNb3O12
_cell_length_a 19.092
_cell_length_b 5.803
_cell_length_c 10.078
_cell_angle_alpha 90.00
_cell_angle_beta 90.00
_cell_angle_gamma 90.00
_space_group_name_H-M_alt 'P 1'
_space_group_IT_number 1
loop_
_space_group_symop_operation_xyz
'x,y,z'
loop_
_atom_site_label
_atom_site_type_symbol
_atom_site_fract_x
_atom_site_fract_y
_atom_site_fract_z
_atom_site_occupancy
Ba1 Ba 0.001 0.250 0.248 1
Ba2 Ba 0.133 0.250 0.927 1
Ba3 Ba 0.139 0.750 0.407 1
Ba4 Ba 0.249 0.750 0.084 1
Ba5 Ba 0.251 0.250 0.584 1
Ba6 Ba 0.361 0.250 0.907 1
Ba7 Ba 0.367 0.750 0.427 1
Ba8 Ba 0.499 0.750 0.748 1
Ba9 Ba 0.501 0.250 0.252 1
Ba10 Ba 0.633 0.250 0.573 1
Ba11 Ba 0.639 0.750 0.093 1
Ba12 Ba 0.749 0.750 0.416 1
Ba13 Ba 0.751 0.250 0.916 1
Ba14 Ba 0.861 0.250 0.593 1
Ba15 Ba 0.867 0.750 0.073 1
Ba16 Ba 0.999 0.750 0.752 1
Li1 Li 0.167 0.250 0.250 1
Li2 Li 0.333 0.750 0.750 1
Li3 Li 0.667 0.250 0.250 1
Li4 Li 0.833 0.750 0.750 1
Nb1 Nb 0.064 0.250 0.581 1
Nb2 Nb 0.064 0.750 0.087 1
Nb3 Nb 0.191 0.750 0.751 1
Nb4 Nb 0.309 0.250 0.251 1
Nb5 Nb 0.436 0.250 0.587 1
Nb6 Nb 0.436 0.750 0.081 1
Nb7 Nb 0.564 0.250 0.919 1
Nb8 Nb 0.564 0.750 0.413 1
Nb9 Nb 0.691 0.750 0.749 1
Nb10 Nb 0.809 0.250 0.249 1
Nb11 Nb 0.936 0.250 0.913 1
Nb12 Nb 0.936 0.750 0.419 1
O1 O 0.000 0.000 0.000 1
O2 O 0.000 0.000 0.500 1
O3 O 0.000 0.500 0.000 1
O4 O 0.000 0.500 0.500 1
O5 O 0.001 0.750 0.249 1
O6 O 0.119 0.003 0.667 1
O7 O 0.119 0.497 0.667 1
O8 O 0.120 0.750 0.915 1
O9 O 0.121 0.250 0.426 1
O10 O 0.122 0.510 0.161 1
O11 O 0.122 0.990 0.161 1
O12 O 0.241 0.750 0.589 1
O13 O 0.243 0.508 0.830 1
O14 O 0.243 0.992 0.830 1
O15 O 0.257 0.008 0.330 1
O16 O 0.257 0.492 0.330 1
O17 O 0.259 0.250 0.089 1
O18 O 0.378 0.010 0.661 1
O19 O 0.378 0.490 0.661 1
O20 O 0.379 0.750 0.926 1
O21 O 0.380 0.250 0.415 1
O22 O 0.381 0.503 0.167 1
O23 O 0.381 0.997 0.167 1
O24 O 0.499 0.250 0.749 1
O25 O 0.500 0.000 0.000 1
O26 O 0.500 0.000 0.500 1
O27 O 0.500 0.500 0.000 1
O28 O 0.500 0.500 0.500 1
O29 O 0.501 0.750 0.251 1
O30 O 0.619 0.003 0.833 1
O31 O 0.619 0.497 0.833 1
O32 O 0.620 0.750 0.585 1
O33 O 0.621 0.250 0.074 1
O34 O 0.622 0.510 0.339 1
O35 O 0.622 0.990 0.339 1
O36 O 0.741 0.750 0.911 1
O37 O 0.743 0.508 0.670 1
O38 O 0.743 0.992 0.670 1
O39 O 0.757 0.008 0.170 1
O40 O 0.757 0.492 0.170 1
O41 O 0.759 0.250 0.411 1
O42 O 0.878 0.010 0.839 1
O43 O 0.878 0.490 0.839 1
O44 O 0.879 0.750 0.574 1
O45 O 0.880 0.250 0.085 1
O46 O 0.881 0.503 0.333 1
O47 O 0.881 0.997 0.333 1
O48 O 0.999 0.250 0.751 1
```



Entry 3:
The following is a DFT calculation (SCAN) of a crystal of BaLi3Ni relaxed with PBEsol.

The value obtained for the energy relative to the elements is 0.22 eV/atom. The calculation puts the density of states at the Fermi level at 0.686 states/eV/atom.

```
data_BaLi3Ni
_cell_length_a 4.907
_cell_length_b 4.907
_cell_length_c 4.907
_cell_angle_alpha 90.00
_cell_angle_beta 90.00
_cell_angle_gamma 90.00
_space_group_name_H-M_alt 'P 1'
_space_group_IT_number 1
loop_
_space_group_symop_operation_xyz
'x,y,z'
loop_
_atom_site_label
_atom_site_type_symbol
_atom_site_fract_x
_atom_site_fract_y
_atom_site_fract_z
_atom_site_occupancy
Ba1 Ba 0.000 0.000 0.000 1
Li1 Li 0.000 0.500 0.500 1
Li2 Li 0.500 0.000 0.500 1
Li3 Li 0.500 0.500 0.000 1
Ni1 Ni 0.500 0.500 0.500 1
```



Entry 4:
The following is a DFT calculation (SCAN) of a crystal of BaLiNi2 relaxed with PBEsol.

The value obtained for the energy relative to the elements is 0.59 eV/atom. The energy relative to the lowest polymorph listed for this composition comes out at 1.91 eV per formula unit. The calculation puts the density of states at the Fermi level at 0.407 states/eV/atom.

```
data_BaLiNi2
_cell_length_a 5.028
_cell_length_b 5.028
_cell_length_c 5.028
_cell_angle_alpha 130.69
_cell_angle_beta 130.37
_cell_angle_gamma 72.56
_space_group_name_H-M_alt 'P 1'
_space_group_IT_number 1
loop_
_space_group_symop_operation_xyz
'x,y,z'
loop_
_atom_site_label
_atom_site_type_symbol
_atom_site_fract_x
_atom_site_fract_y
_atom_site_fract_z
_atom_site_occupancy
Ba1 Ba 0.000 0.000 0.000 1
Li1 Li 0.500 0.500 0.000 1
Ni1 Ni 0.250 0.750 0.500 1
Ni2 Ni 0.750 0.250 0.500 1
```